1.
This record from Alexandria via LeMat-Bulk describes an optimized crystal structure of TlCuRhS2. The functional is PBE.

Output
ρ = 7.02 Mg/m³
E_form (uncorrected) = -0.95 eV/f.u.
final energy = -4.60 eV per atom
V = 103.0 Å³/f.u.
total magnetization = 0.00 Bohr magnetons per cell

a b c (Å): 5.6423 14.2562 5.1198
angles (deg): 90.00 90.00 90.00
Space group Cmme (No. 67)
One atom of each set of equivalent atoms:
Tl (0.0000, 0.2500, 0.2337)
Cu (0.0000, 0.0000, 0.0000)
Rh (0.2500, 0.0000, 0.5000)
S (0.0000, 0.1112, 0.7030)

2.
This record from Alexandria via LeMat-Bulk describes an optimized crystal structure of NiRu5. The functional is PBE.

Output
ρ = 11.42 Mg/m³
relative energy among the computed polymorphs = 198.9 meV/atom
formation enthalpy at 0 K = 0.25 eV per atom
final energy = -8.45 eV per atom
V = 82.0 Å³/f.u.
total magnetization = 0.00 Bohr magnetons per cell

a b c (Å): 4.3146 13.7840 2.7591
angles (deg): 90.00 90.00 90.00
Space group Cmmm (No. 65)
One atom of each set of equivalent atoms:
Ni (0.0000, 0.0000, 0.0000)
Ru (0.0000, 0.1452, 0.5000)
Ru (0.0000, 0.3115, 0.0000)
Ru (0.0000, 0.5000, 0.5000)

3.
This record from Alexandria via LeMat-Bulk describes an optimized crystal structure of SnN2. The functional is PBE.

Output
ρ = 4.82 Mg/m³
E_form (uncorrected) = 2.29 eV/f.u.
relative energy among the computed polymorphs = 536.6 meV/atom
final energy = -6.12 eV per atom
V = 50.5 Å³/f.u.
total magnetization = 0.00 Bohr magnetons per cell

a b c (Å): 4.1214 4.5353 5.4042
angles (deg): 90.00 90.00 90.00
Space group Immm (No. 71)
One atom of each set of equivalent atoms:
Sn (0.0000, 0.0000, 0.0000)
N (0.1478, 0.0000, 0.5000)

4.
This record from Alexandria via LeMat-Bulk describes an optimized crystal structure of PuFeMo. The functional is PBE.

Output
ρ = 12.88 Mg/m³
formation enthalpy at 0 K = 0.35 eV per atom
final energy = -10.86 eV per atom
V = 51.0 Å³/f.u.
total magnetization = 11.34 Bohr magnetons per cell

a b c (Å): 5.6405 6.4355 7.0890
angles (deg): 90.00 127.51 90.00
Space group P2_1/c (No. 14)
One atom of each set of equivalent atoms:
Pu (0.1824, 0.1813, 0.1274)
Fe (0.2352, 0.0055, 0.4655)
Mo (0.3337, 0.6480, 0.3668)

5.
This record from Alexandria via LeMat-Bulk describes an optimized crystal structure of CoAs2Ru. The functional is PBE.

Output
ρ = 9.05 Mg/m³
relative energy among the computed polymorphs = 114.5 meV/atom
formation enthalpy at 0 K = 0.01 eV per atom
final energy = -6.41 eV per atom
V = 56.9 Å³/f.u.
total magnetization = 0.00 Bohr magnetons per cell

a b c (Å): 2.9831 2.9831 22.1362
angles (deg): 90.00 90.00 120.00
Space group R-3m (No. 166, hexagonal axes)
One atom of each set of equivalent atoms:
Co (0.0000, 0.0000, 0.0000)
As (0.0000, 0.0000, 0.2528)
Ru (0.0000, 0.0000, 0.5000)

6.
This record from Alexandria via LeMat-Bulk describes an optimized crystal structure of ScBiPt2. The functional is PBE.

Output
ρ = 13.44 Mg/m³
formation enthalpy at 0 K = -0.76 eV per atom
final energy = -6.33 eV per atom
V = 79.6 Å³/f.u.
total magnetization = 0.00 Bohr magnetons per cell

a b c (Å): 3.4728 3.4728 6.6003
angles (deg): 90.00 90.00 90.00
Space group P4/mmm (No. 123)
One atom of each set of equivalent atoms:
Sc (0.0000, 0.0000, 0.0000)
Bi (0.0000, 0.0000, 0.5000)
Pt (0.5000, 0.5000, 0.2118)